No. 1
Here is an optimized crystal structure of KMoSe2Br from Alexandria. Energies are from PBE-GGA.

As for the energy above the most stable polymorph in this dataset: 0 meV/atom. Its crystal system is tetragonal. Its magnetization is 0.1453 μB per atom. The density of states at the Fermi level is 4.28 states/eV per cell. The uncorrected formation energy comes out at -0.53 eV per atom. The density comes out at 4.52 g/cm³.

The space group is P4/mmm (No. 123) and the conventional cell measures 4.927, 4.927 and 5.646 Å, with angles of 90.00, 90.00 and 90.00 degrees. The asymmetric unit holds K at (0.000, 0.000, 0.000), Mo at (0.500, 0.500, 0.500), Se at (0.000, 0.500, 0.500) and Br at (0.500, 0.500, 0.000).



No. 2
Here is an optimized crystal structure of Ca2MgCrS from Alexandria. Energies are from PBE-GGA.

Its crystal system is tetragonal. Its magnetization is 0.7325 μB per atom. The density of states at the Fermi level is 3.74 states/eV per cell. The uncorrected formation energy comes out at -0.37 eV per atom. The density comes out at 2.27 g/cm³.

The space group is P4/mmm (No. 123) and the conventional cell measures 5.462, 5.462 and 4.626 Å, with angles of 90.00, 90.00 and 90.00 degrees. The asymmetric unit holds Ca at (0.000, 0.500, 0.000), Mg at (0.000, 0.000, 0.500), Cr at (0.500, 0.500, 0.500) and S at (0.500, 0.500, 0.000).



No. 3
Here is an optimized crystal structure of Y2Cu2Ni from Alexandria. Energies are from PBE-GGA.

Its crystal system is tetragonal. Its magnetization is 0.0000 μB per atom. The density of states at the Fermi level is 7.03 states/eV per cell. The density comes out at 6.20 g/cm³. Its energy relative to the elements is -10.7 kJ/mol of atoms.

The space group is I4/mmm (No. 139) and the conventional cell measures 3.420, 3.420 and 16.658 Å, with angles of 90.00, 90.00 and 90.00 degrees. The asymmetric unit holds Y at (0.000, 0.000, 0.099), Cu at (0.000, 0.500, 0.250) and Ni at (0.000, 0.000, 0.500).



No. 4
Here is an optimized crystal structure of Na5Cu4Se4 from Alexandria. Energies are from PBE-GGA.

Its crystal system is tetragonal. Its magnetization is 0.0000 μB per atom. The density of states at the Fermi level is 3.06 states/eV per cell. The uncorrected formation energy comes out at -0.58 eV per atom. The density comes out at 4.41 g/cm³.

The space group is I4/m (No. 87) and the conventional cell measures 11.518, 11.518 and 3.891 Å, with angles of 90.00, 90.00 and 90.00 degrees. The asymmetric unit holds Na at (0.000, 0.000, 0.000), Na at (0.136, 0.785, 0.500), Cu at (0.055, 0.404, 0.500) and Se at (0.054, 0.260, 0.000).



No. 5
Here is an optimized crystal structure of TcSbBr2 from Alexandria. Energies are from PBE-GGA.

As for the energy above the most stable polymorph in this dataset: 632 meV/atom. Its crystal system is monoclinic. Its magnetization is 0.8125 μB per atom. The density of states at the Fermi level is 5.28 states/eV per cell. The uncorrected formation energy comes out at 0.64 eV per atom. The density comes out at 6.18 g/cm³.

The space group is C2/m (No. 12) and the conventional cell measures 6.428, 9.488 and 4.619 Å, with angles of 90.00, 133.60 and 90.00 degrees. The asymmetric unit holds Tc at (0.000, 0.000, 0.000), Sb at (0.000, 0.500, 0.000) and Br at (0.250, 0.250, 0.500).



No. 6
Here is an optimized crystal structure of GaTe2Br from Alexandria. Energies are from PBE-GGA.

As for the energy above the most stable polymorph in this dataset: 625 meV/atom. Its crystal system is cubic. Its magnetization is 0.0000 μB per atom. The density of states at the Fermi level is 15.29 states/eV per cell. The uncorrected formation energy comes out at 0.28 eV per atom. The density comes out at 6.57 g/cm³.

The space group is Fm-3m (No. 225) and the conventional cell measures 7.425, 7.425 and 7.425 Å, with angles of 90.00, 90.00 and 90.00 degrees. The asymmetric unit holds Ga at (0.000, 0.000, 0.000), Te at (0.250, 0.250, 0.250) and Br at (0.000, 0.000, 0.500).